Density functional theory data (PBE-GGA) for a relaxed PmSbN2Cl crystal.

As for the density of states at the Fermi level: 2.9 states/eV/cell. For the uncorrected formation energy, the calculation gives -0.76 eV per atom. The space group is P2_1/m (11). The value obtained for the magnetization is 0.000 μB per cell.

Cell lengths 4.204, 6.894, 7.947 Å; angles 108.21, 90.00, 90.00 degrees
Element x y z (fractional)
Pm1 0.250 0.676 0.929
Pm2 0.750 0.324 0.071
Sb1 0.250 0.625 0.409
Sb2 0.750 0.375 0.591
N1 0.750 0.533 0.405
N2 0.250 0.467 0.595
N3 0.750 0.501 0.859
N4 0.250 0.499 0.141
Cl1 0.250 0.048 0.832
Cl2 0.750 0.952 0.168

---

Density functional theory data (PBE-GGA) for a relaxed Pm2ScN2Cl2 crystal.

As for the density of states at the Fermi level: 3.0 states/eV/cell. For the uncorrected formation energy, the calculation gives -1.65 eV per atom. The space group is I4/mmm (139). The value obtained for the magnetization is 0.188 μB per cell.

Cell lengths 4.222, 4.222, 8.056 Å; angles 105.19, 105.19, 90.00 degrees
Each line ends with the local moment (μB).
Element x y z (fractional)
Pm1 0.401 0.401 0.801  0.06
Pm2 0.599 0.599 0.199  0.06
Sc1 0.000 0.000 0.000  0.01
N1 0.000 0.500 0.000  0.00
N2 0.500 0.000 0.000  0.00
Cl1 0.186 0.186 0.372  0.00
Cl2 0.814 0.814 0.628  0.00